# 1
Computed, not measured: an optimized crystal structure of NdIn2Hg8 at the PBE level of DFT.

polymorph energy (0 for the lowest one) = 81 meV/atom

```
11
Lattice="4.5681 -10.2715 0.0000 4.5681 10.2715 0.0000 -0.5692 0.0000 3.3996" Properties=species:S:1:pos:R:3 pbc="T T T"
Nd 0.0000 0.0000 0.0000
In 4.2835 5.5359 1.6998
In 4.2835 -5.5359 1.6998
Hg 1.4220 2.2963 1.9974
Hg 1.4220 -2.2963 1.9974
Hg 4.5681 3.0192 0.0000
Hg 3.1833 0.0000 0.6563
Hg 5.3837 0.0000 2.7434
Hg 4.5681 -3.0192 0.0000
Hg 7.1450 2.2963 1.4023
Hg 7.1450 -2.2963 1.4023
```



# 2
Computed, not measured: an optimized crystal structure of Ca3LaNd6 at the PBE level of DFT.

VASP energy = -37.7 eV per formula unit

```
10
Lattice="6.7039 0.0000 0.0000 -3.3520 5.8058 0.0000 0.0000 0.0000 9.5341" Properties=species:S:1:pos:R:3 pbc="T T T"
Ca 0.0000 0.0000 0.0000
Ca 0.0000 3.8705 0.0000
Ca 3.3520 1.9352 0.0000
La 0.0000 0.0000 4.7670
Nd -1.3216 2.2891 3.0444
Nd -2.0303 3.5166 6.4897
Nd 2.6432 0.0000 3.0444
Nd 1.3216 2.2891 6.4897
Nd 4.0607 0.0000 6.4897
Nd 2.0303 3.5166 3.0444
```



# 3
Computed, not measured: an optimized crystal structure of SrHg5Pb2 at the PBE level of DFT.

polymorph energy (0 for the lowest one) = 67 meV/atom

```
16
Lattice="-4.2064 4.2064 6.5863 4.2064 -4.2064 6.5863 4.2064 4.2064 -6.5863" Properties=species:S:1:pos:R:3 pbc="T T T"
Sr 0.0000 0.0000 3.2932
Sr 0.0000 0.0000 9.8795
Hg 0.0000 0.0000 0.0000
Hg 2.9974 -1.2090 2.2053
Hg 5.4154 -1.2090 4.3810
Hg 5.4154 1.2090 2.2053
Hg 2.9974 1.2090 4.3810
Hg 0.0000 0.0000 6.5863
Hg 1.2090 2.9974 2.2053
Hg -1.2090 2.9974 4.3810
Hg -1.2090 5.4154 2.2053
Hg 1.2090 5.4154 4.3810
Pb 2.9404 1.2660 0.0000
Pb 2.9404 -1.2660 6.5863
Pb 1.2660 5.4724 0.0000
Pb 1.2660 2.9404 6.5863
```



# 4
Computed, not measured: an optimized crystal structure of InCo2Mo at the PBE level of DFT.

VASP energy = -27.3 eV per formula unit

```
4
Lattice="2.8084 0.0000 0.0000 0.0000 2.8084 0.0000 0.0000 0.0000 7.1463" Properties=species:S:1:pos:R:3 pbc="T T T"
In 0.0000 0.0000 0.0000
Co 1.4042 1.4042 1.9013
Co 1.4042 1.4042 5.2451
Mo 0.0000 0.0000 3.5732
```



# 5
Computed, not measured: an optimized crystal structure of Tc2SbAu at the PBE level of DFT.

raw formation energy = 0.406 eV/atom

```
4
Lattice="-1.5836 2.2897 4.7048 1.5836 -2.2897 4.7048 1.5836 2.2897 -4.7048" Properties=species:S:1:pos:R:3 pbc="T T T"
Tc 0.0000 0.0000 0.0000
Tc 0.0000 2.2897 2.4603
Sb 0.0000 0.0000 4.9703
Au 1.5836 0.0000 2.5791
```



# 6
Computed, not measured: an optimized crystal structure of HoLuFe4 at the PBE level of DFT.

VASP energy = -43.8 eV per formula unit

```
6
Lattice="0.0000 3.5943 3.5943 3.5943 0.0000 3.5943 3.5943 3.5943 0.0000" Properties=species:S:1:pos:R:3 pbc="T T T"
Ho 0.0000 0.0000 0.0000
Lu 5.3915 5.3915 5.3915
Fe 2.6970 2.6970 2.6970
Fe 4.4916 4.4916 2.6970
Fe 4.4916 2.6970 4.4916
Fe 2.6970 4.4916 4.4916
```



# 7
Computed, not measured: an optimized crystal structure of LiMg3Ag3 at the PBE level of DFT.

polymorph energy (0 for the lowest one) = 5 meV/atom

```
14
Lattice="4.6951 -4.8211 0.0000 4.6951 4.8211 0.0000 0.0000 0.0000 6.0915" Properties=species:S:1:pos:R:3 pbc="T T T"
Li 4.6951 2.4106 0.0000
Li 4.6951 -2.4106 0.0000
Mg 2.1041 0.0000 0.0000
Mg 2.2505 0.0000 3.0457
Mg 4.6951 2.4967 3.0457
Mg 4.6951 -2.4967 3.0457
Mg 7.1397 0.0000 3.0457
Mg 7.2861 0.0000 0.0000
Ag 2.3475 2.4105 1.4876
Ag 2.3475 2.4105 4.6039
Ag 2.3475 -2.4105 1.4876
Ag 2.3475 -2.4105 4.6039
Ag 4.6951 0.0000 1.4873
Ag 4.6951 0.0000 4.6042
```



# 8
Computed, not measured: an optimized crystal structure of Sm6Cd2N at the PBE level of DFT.

raw formation energy = -0.444 eV/atom

```
18
Lattice="7.0852 0.0000 0.0000 0.0000 7.0751 0.0000 -7.0531 0.0000 9.9479" Properties=species:S:1:pos:R:3 pbc="T T T"
Sm -0.4515 7.0735 2.5614
Sm -3.9781 3.5391 7.5354
Sm -1.7128 1.7257 5.2963
Sm 1.8138 1.8119 0.3223
Sm 1.8212 5.2700 0.3222
Sm -1.7053 5.3427 5.2961
Sm 1.7375 1.7324 4.6517
Sm -1.7890 1.8051 9.6257
Sm -1.7816 5.2632 9.6255
Sm 1.7449 5.3494 4.6516
Sm 0.4837 0.0015 7.3864
Sm 4.0102 3.5360 2.4125
Cd -3.4913 7.0723 7.4785
Cd 0.0353 3.5403 2.5046
Cd 3.5234 0.0028 2.4694
Cd -0.0031 3.5348 7.4433
N 0.0161 0.0000 4.9739
N 3.5426 3.5375 0.0000
```



# 9
Computed, not measured: an optimized crystal structure of MnBeAs2Br at the PBE level of DFT.

raw formation energy = 0.529 eV/atom
polymorph energy (0 for the lowest one) = 0 meV/atom

```
5
Lattice="4.3600 0.0000 0.0000 0.0000 4.3600 0.0000 0.0000 0.0000 5.4539" Properties=species:S:1:pos:R:3 pbc="T T T"
Mn 0.0000 0.0000 0.0000
Be 2.1800 2.1800 2.7270
As 0.0000 2.1800 2.7270
As 2.1800 0.0000 2.7270
Br 2.1800 2.1800 0.0000
```



# 10
Computed, not measured: an optimized crystal structure of CeZr4Rh5 at the PBE level of DFT.

VASP energy = -84.4 eV per formula unit

```
10
Lattice="3.3121 0.0000 0.0000 0.0000 3.3121 0.0000 0.0000 0.0000 16.9736" Properties=species:S:1:pos:R:3 pbc="T T T"
Ce 0.0000 0.0000 0.0000
Zr 0.0000 0.0000 3.5456
Zr 0.0000 0.0000 6.8510
Zr 0.0000 0.0000 10.1226
Zr 0.0000 0.0000 13.4279
Rh 1.6561 1.6561 2.0583
Rh 1.6561 1.6561 5.2437
Rh 1.6561 1.6561 8.4868
Rh 1.6561 1.6561 11.7298
Rh 1.6561 1.6561 14.9152
```



# 11
Computed, not measured: an optimized crystal structure of Ce6ZnHg5 at the PBE level of DFT.

VASP energy = -41.7 eV per formula unit

```
12
Lattice="8.2052 -3.3804 0.0000 8.2052 3.3804 0.0000 -1.2978 0.0000 5.5141" Properties=species:S:1:pos:R:3 pbc="T T T"
Ce 5.2316 1.7725 1.3049
Ce 8.2052 1.9407 0.0000
Ce 9.8811 1.7725 4.2093
Ce 5.2316 -1.7725 1.3049
Ce 8.2052 -1.9407 0.0000
Ce 9.8811 -1.7725 4.2093
Zn -0.6489 0.0000 2.7571
Hg 2.4782 0.0000 1.5480
Hg 4.5777 0.0000 4.0718
Hg 7.5563 0.0000 2.7571
Hg 10.5350 0.0000 1.4424
Hg 12.6345 0.0000 3.9662
```



# 12
Computed, not measured: an optimized crystal structure of NdUTe2 at the PBE level of DFT.

raw formation energy = -0.847 eV/atom
polymorph energy (0 for the lowest one) = 0 meV/atom

```
4
Lattice="3.7986 0.0000 0.0000 0.0000 3.7986 0.0000 0.0000 0.0000 7.7110" Properties=species:S:1:pos:R:3 pbc="T T T"
Nd 0.0000 0.0000 0.0000
U 0.0000 0.0000 3.8555
Te 1.8993 1.8993 1.9846
Te 1.8993 1.8993 5.7264
```



# 13
Computed, not measured: an optimized crystal structure of Zr7Ir3 at the PBE level of DFT.

VASP energy = -92.2 eV per formula unit

```
20
Lattice="9.2633 0.0000 0.0000 -4.6317 8.0223 0.0000 0.0000 0.0000 5.7393" Properties=species:S:1:pos:R:3 pbc="T T T"
Zr -1.7993 4.3094 0.0000
Zr 0.0000 2.1100 1.6453
Zr -2.8043 6.9672 1.6453
Zr 1.8273 1.0550 4.5150
Zr 0.0000 5.3482 2.7292
Zr 1.7993 4.3094 0.0000
Zr 0.0000 7.4258 0.0000
Zr 4.6317 0.5965 2.8697
Zr 2.8324 3.7129 2.8697
Zr 4.6317 2.6741 5.5989
Zr 2.8043 6.9672 1.6453
Zr 7.4360 1.0550 4.5150
Zr 4.6317 5.9122 4.5150
Zr 6.4309 3.7129 2.8697
Ir 0.0000 3.0408 4.2305
Ir -1.9983 6.5019 4.2305
Ir 2.6334 1.5204 1.3609
Ir 1.9983 6.5019 4.2305
Ir 6.6299 1.5204 1.3609
Ir 4.6316 4.9815 1.3609
```



# 14
Computed, not measured: an optimized crystal structure of Nd3Y8Th3 at the PBE level of DFT.

VASP energy = -86.0 eV per formula unit

```
14
Lattice="-2.8517 5.3767 7.6171 2.8517 -5.3767 7.6171 2.8517 5.3767 -7.6171" Properties=species:S:1:pos:R:3 pbc="T T T"
Nd 0.0000 0.0000 0.0000
Nd 0.0000 3.3470 0.0000
Nd 0.0000 7.4065 0.0000
Y 2.8517 1.7310 -1.5780
Y 2.8517 3.6817 -4.2048
Y 2.8517 1.7310 1.5780
Y 0.0000 1.6950 3.4123
Y 2.8517 3.6817 4.2048
Y 0.0000 3.6457 6.0391
Y 0.0000 1.6950 11.8219
Y 0.0000 3.6457 9.1952
Th 2.8517 0.0000 4.7956
Th 0.0000 0.0000 7.6171
Th 0.0000 5.3767 2.8215
```



# 15
Computed, not measured: an optimized crystal structure of Th11Tl9Ru4 at the PBE level of DFT.

VASP energy = -147.0 eV per formula unit

```
24
Lattice="7.5337 -11.2466 0.0000 7.5337 11.2466 0.0000 0.0000 0.0000 3.8381" Properties=species:S:1:pos:R:3 pbc="T T T"
Th 0.0000 0.0000 0.0000
Th 3.8182 3.7874 0.0000
Th 7.5337 7.7696 0.0000
Th 4.7253 0.0000 0.0000
Th 7.5337 2.8371 0.0000
Th 3.8182 -3.7874 0.0000
Th 11.2492 3.7874 0.0000
Th 7.5337 -2.8371 0.0000
Th 10.3422 0.0000 0.0000
Th 7.5337 -7.7696 0.0000
Th 11.2492 -3.7874 0.0000
Tl 2.2097 1.6147 1.9190
Tl 5.9684 5.4458 1.9190
Tl 2.2097 -1.6147 1.9190
Tl 9.0990 5.4458 1.9190
Tl 7.5337 0.0000 1.9190
Tl 5.9684 -5.4458 1.9190
Tl 12.8577 1.6147 1.9190
Tl 9.0990 -5.4458 1.9190
Tl 12.8577 -1.6147 1.9190
Ru 5.2027 2.2451 1.9190
Ru 5.2027 -2.2451 1.9190
Ru 9.8647 2.2451 1.9190
Ru 9.8647 -2.2451 1.9190
```



# 16
Computed, not measured: an optimized crystal structure of KNbAu2Se4 at the PBE level of DFT.

raw formation energy = -0.571 eV/atom

```
8
Lattice="-3.0936 4.4113 4.4866 3.0936 -4.4113 4.4866 3.0936 4.4113 -4.4866" Properties=species:S:1:pos:R:3 pbc="T T T"
K 0.0000 0.0000 0.0000
Nb 0.0000 4.4113 0.0000
Au 3.0936 2.9962 0.0000
Au 0.0000 1.4151 4.4866
Se 1.1866 2.9229 -1.5655
Se 1.9070 1.4884 2.9212
Se 1.9070 -1.4884 6.0521
Se 1.1866 5.8996 1.5655
```



# 17
Computed, not measured: an optimized crystal structure of TcCl3 at the PBE level of DFT.

raw formation energy = -0.354 eV/atom
polymorph energy (0 for the lowest one) = 358 meV/atom

```
4
Lattice="-1.6164 5.4877 3.3084 1.6164 -5.4877 3.3084 1.6164 5.4877 -3.3084" Properties=species:S:1:pos:R:3 pbc="T T T"
Tc 0.0000 0.0000 0.0000
Cl 1.6164 1.6021 -0.8717
Cl 1.6164 0.0000 1.8041
Cl 0.0000 3.8856 2.4367
```



# 18
Computed, not measured: an optimized crystal structure of YSiRh at the PBE level of DFT.

raw formation energy = -1.057 eV/atom

```
12
Lattice="6.9168 0.0000 0.0000 0.0000 4.2479 0.0000 0.0000 0.0000 7.4230" Properties=species:S:1:pos:R:3 pbc="T T T"
Y 6.9140 1.0620 1.4010
Y 0.0028 3.1859 6.0220
Y 3.4556 1.0620 2.3105
Y 3.4612 3.1859 5.1125
Si 1.4074 1.0620 4.4850
Si 2.0510 3.1859 0.7735
Si 4.8658 1.0620 6.6495
Si 5.5094 3.1859 2.9380
Rh 1.0629 3.1859 3.2005
Rh 2.3955 1.0620 6.9120
Rh 4.5213 3.1859 0.5110
Rh 5.8539 1.0620 4.2225
```